Computed, not measured: LiGeB after structural relaxation at the PBE level of DFT.

Lattice parameters (Å, degrees): 3.5175 6.1346 4.0337 90.00 89.99 90.00
Closest atoms and distances in Å follow each position.
Atoms (fractional coordinates):
Li1 0.1098 0.5000 0.8692  4 B 2.55-2.56, 4 Ge 2.78
Li2 0.7328 0.0000 0.8677  8 Ge 2.93-2.94, 4 B 3.01-3.02
B1 0.7310 0.3651 0.3694  1 B 1.66
B2 0.7310 0.6349 0.3694  1 B 1.66
Ge1 0.2311 0.1964 0.3681  2 B 2.04
Ge2 0.2311 0.8036 0.3681  2 B 2.04

- D(E_F) (states/eV/f.u.) = 0.48
- formation energy (meV per atom) = -6
- symmetry = No. 6
- crystal system = monoclinic